Entry 1:
# Y2AsN | Alexandria via LeMat-Bulk | PBE | relaxed
data_Y2AsN
_cell_length_a 6.716
_cell_length_b 6.716
_cell_length_c 6.716
_cell_angle_alpha 90.00
_cell_angle_beta 90.00
_cell_angle_gamma 90.00
_space_group_name_H-M_alt 'F m -3 m'
_space_group_IT_number 225
_space_group_name_Hall '-F 4 2 3'
loop_
_atom_site_label
_atom_site_type_symbol
_atom_site_fract_x
_atom_site_fract_y
_atom_site_fract_z
_atom_site_occupancy
Y1 Y 0.250 0.250 0.250 1
As1 As 0.000 0.000 0.000 1
N1 N 0.000 0.000 0.500 1
# Formation energy (no corrections)   -0.550 eV/atom


Entry 2:
# YAsN2 | Alexandria via LeMat-Bulk | PBE | relaxed
data_YAsN2
_cell_length_a 3.1278
_cell_length_b 3.1278
_cell_length_c 20.2238
_cell_angle_alpha 90.00
_cell_angle_beta 90.00
_cell_angle_gamma 120.00
_space_group_name_H-M_alt 'R -3 m'
_space_group_IT_number 166
_space_group_name_Hall '-R 3 2"'
loop_
_atom_site_label
_atom_site_type_symbol
_atom_site_fract_x
_atom_site_fract_y
_atom_site_fract_z
_atom_site_occupancy
Y1 Y 0.0000 0.0000 0.0000 1
As1 As 0.0000 0.0000 0.5000 1
N1 N 0.0000 0.0000 0.1155 1
# Formation energy (no corrections)   0.441 eV/atom


Entry 3:
# Y2AsN | Alexandria via LeMat-Bulk | PBE | relaxed
data_Y2AsN
_cell_length_a 3.7341
_cell_length_b 3.7341
_cell_length_c 19.2286
_cell_angle_alpha 90.00
_cell_angle_beta 90.00
_cell_angle_gamma 120.00
_space_group_name_H-M_alt 'R -3 m'
_space_group_IT_number 166
_space_group_name_Hall '-R 3 2"'
loop_
_atom_site_label
_atom_site_type_symbol
_atom_site_fract_x
_atom_site_fract_y
_atom_site_fract_z
_atom_site_occupancy
Y1 Y 0.0000 0.0000 0.2369 1
As1 As 0.0000 0.0000 0.0000 1
N1 N 0.0000 0.0000 0.5000 1
# Formation energy (no corrections)   -1.427 eV/atom


Entry 4:
# YAs2N2 | Alexandria via LeMat-Bulk | PBE | relaxed
data_YAs2N2
_cell_length_a 7.377
_cell_length_b 7.377
_cell_length_c 3.091
_cell_angle_alpha 90.00
_cell_angle_beta 90.00
_cell_angle_gamma 90.00
_space_group_name_H-M_alt 'P 4/m b m'
_space_group_IT_number 127
_space_group_name_Hall '-P 4 2ab'
loop_
_atom_site_label
_atom_site_type_symbol
_atom_site_fract_x
_atom_site_fract_y
_atom_site_fract_z
_atom_site_occupancy
Y1 Y 0.000 0.000 0.000 1
As1 As 0.140 0.360 0.000 1
N1 N 0.245 0.745 0.500 1
# Formation energy (no corrections)   0.359 eV/atom


Entry 5:
# ZnAsN2 | Alexandria via LeMat-Bulk | PBE | relaxed
data_ZnAsN2
_cell_length_a 3.2919
_cell_length_b 3.2919
_cell_length_c 16.7907
_cell_angle_alpha 90.00
_cell_angle_beta 90.00
_cell_angle_gamma 120.00
_space_group_name_H-M_alt 'R -3 m'
_space_group_IT_number 166
_space_group_name_Hall '-R 3 2"'
loop_
_atom_site_label
_atom_site_type_symbol
_atom_site_fract_x
_atom_site_fract_y
_atom_site_fract_z
_atom_site_occupancy
Zn1 Zn 0.0000 0.0000 0.0000 1
As1 As 0.0000 0.0000 0.5000 1
N1 N 0.0000 0.0000 0.3951 1
# Formation energy (no corrections)   0.843 eV/atom


Entry 6:
# ZnAsN2 | Alexandria via LeMat-Bulk | PBE | relaxed
data_ZnAsN2
_cell_length_a 4.652
_cell_length_b 4.652
_cell_length_c 9.621
_cell_angle_alpha 90.00
_cell_angle_beta 90.00
_cell_angle_gamma 90.00
_space_group_name_H-M_alt 'I -4 2 d'
_space_group_IT_number 122
_space_group_name_Hall 'I -4 2bw'
loop_
_atom_site_label
_atom_site_type_symbol
_atom_site_fract_x
_atom_site_fract_y
_atom_site_fract_z
_atom_site_occupancy
Zn1 Zn 0.000 0.000 0.000 1
As1 As 0.000 0.000 0.500 1
N1 N 0.230 0.250 0.625 1
# Formation energy (no corrections)   0.415 eV/atom


Which of these has the highest formation energy (no corrections)? number 5